{
  "formula": "Tb3PrY2S6",
  "functional": "PBE-GGA",
  "state": "relaxed",
  "lattice_angstrom": [[-0.274, 3.856, 5.663], [-3.550, -5.856, -0.356], [6.324, -2.539, 0.654]],
  "species": ["S", "S", "Tb", "Y", "Pr", "Tb", "S", "S", "S", "Tb", "Y", "S"],
  "fractional_positions": [[0.085, 0.429, 0.256], [0.429, 0.085, 0.256], [0.162, 0.838, 0.500], [0.666, 0.334, 0.000], [0.000, 0.000, 0.000], [0.838, 0.162, 0.500], [0.741, 0.741, 0.252], [0.915, 0.571, 0.744], [0.259, 0.259, 0.748], [0.500, 0.500, 0.500], [0.334, 0.666, 0.000], [0.571, 0.915, 0.744]],
  "dos_at_fermi_per_ev_cell": 4.9,
  "e_form_raw_ev_per_atom": -2.01
}

{
  "formula": "ErCu2Te2",
  "functional": "PBE-GGA",
  "state": "relaxed",
  "lattice_angstrom": [[-1.558, -7.473, 0.510], [6.781, 1.807, 3.048], [-4.423, 3.372, 2.207]],
  "species": ["Cu", "Te", "Te", "Cu", "Cu", "Te", "Te", "Er", "Er", "Cu"],
  "fractional_positions": [[0.294, 0.365, 0.423], [0.142, 0.858, 0.750], [0.640, 0.360, 0.750], [0.706, 0.635, 0.577], [0.365, 0.294, 0.923], [0.360, 0.640, 0.250], [0.858, 0.142, 0.250], [0.109, 0.891, 0.250], [0.891, 0.109, 0.750], [0.635, 0.706, 0.077]],
  "dos_at_fermi_per_ev_cell": 3.6,
  "e_form_raw_ev_per_atom": -0.48
}

{
  "formula": "CsRe2BiO8",
  "functional": "PBE-GGA",
  "state": "relaxed",
  "lattice_angstrom": [[5.734, 0.000, 0.000], [2.867, 4.966, 0.000], [2.867, 1.655, 9.042]],
  "species": ["O", "Bi", "O", "O", "O", "O", "O", "O", "O", "Cs", "Re", "Re"],
  "fractional_positions": [[0.254, 0.000, 0.158], [0.000, 0.000, 0.000], [0.000, 0.588, 0.158], [0.412, 0.746, 0.842], [0.808, 0.808, 0.577], [0.000, 0.412, 0.842], [0.192, 0.192, 0.423], [0.588, 0.254, 0.158], [0.746, 0.000, 0.842], [0.500, 0.500, 0.500], [0.743, 0.743, 0.772], [0.257, 0.257, 0.228]],
  "dos_at_fermi_per_ev_cell": 6.8,
  "e_form_raw_ev_per_atom": -1.50
}

{
  "formula": "YPaNiN3",
  "functional": "PBE-GGA",
  "state": "relaxed",
  "lattice_angstrom": [[-0.839, 3.235, 0.706], [-5.373, -0.400, -4.556], [-3.345, -2.158, 5.914]],
  "species": ["N", "Ni", "N", "N", "N", "Ni", "N", "Pa", "N", "Y", "Y", "Pa"],
  "fractional_positions": [[0.750, 0.873, 0.135], [0.750, 0.896, 0.432], [0.250, 0.127, 0.865], [0.250, 0.572, 0.858], [0.250, 0.810, 0.524], [0.250, 0.104, 0.568], [0.750, 0.190, 0.476], [0.750, 0.338, 0.815], [0.750, 0.428, 0.142], [0.250, 0.165, 0.206], [0.750, 0.835, 0.794], [0.250, 0.662, 0.185]],
  "dos_at_fermi_per_ev_cell": 4.3,
  "e_form_raw_ev_per_atom": -1.08
}